A.
First-principles (PBE-GGA) data for a relaxed TiV3B crystal, as listed in the Alexandria database.

Cell lengths 4.279, 4.279, 4.279 Å; angles 90.00, 90.00, 90.00 degrees
Space group Pm-3m (No. 221)
Symmetry-distinct sites (fractional):
Ti: 0.000 0.000 0.000
V: 0.000 0.000 0.500
B: 0.500 0.500 0.500

Output
**M_tot**: 0.00 μB per cell
**Theoretical density**: 4.48 g cm⁻³
**Calculated volume**: 78.36 Å³ per cell



B.
First-principles (PBE-GGA) data for a relaxed TiV3B crystal, as listed in the Alexandria database.

Cell lengths 4.086, 4.086, 4.086 Å; angles 90.00, 90.00, 90.00 degrees
Space group Pm-3m (No. 221)
Symmetry-distinct sites (fractional):
Ti: 0.000 0.000 0.000
V: 0.000 0.500 0.500
B: 0.500 0.500 0.500

Output
**M_tot**: 0.00 μB per cell
**Theoretical density**: 5.15 g cm⁻³
**Calculated volume**: 68.22 Å³ per cell



Ranking the structures above by energy, B is first and the second is 180.5 kJ/mol of atoms behind.